A crystal of LiTa4Mo relaxed with PBEsol, computed with meta-GGA SCAN.

Structure (POSCAR):
```
LiTa4Mo
1.0
5.363 0.000 0.000
2.681 4.644 0.000
2.681 1.548 4.379
Li Mo Ta
1 1 4
Cartesian
8.044 4.644 3.284
0.000 0.000 0.000
4.005 2.312 1.635
5.363 3.096 3.852
6.721 2.312 1.635
5.363 4.664 1.635
```

Computed properties:
ΔE_f: 0.613 eV per atom
E_tot: -49.988 eV/atom

A crystal of Ta2CdPb relaxed with PBEsol, computed with meta-GGA SCAN.

Structure (POSCAR):
```
Ta2CdPb
1.0
3.588 0.000 0.000
0.000 4.626 0.000
0.000 0.000 4.691
Pb Cd Ta
1 1 2
Cartesian
0.000 2.313 2.346
1.794 0.000 2.346
0.000 0.000 0.000
1.794 2.313 0.000
```

Computed properties:
ΔE_f: 0.447 eV per atom
E_tot: -59.393 eV/atom

A crystal of ScIn2Ru relaxed with PBEsol, computed with meta-GGA SCAN.

Structure (POSCAR):
```
ScIn2Ru
1.0
-2.149 0.886 -4.081
-1.659 -3.543 -2.598
-4.634 -0.647 -0.403
In Ru Sc
2 1 1
Cartesian
0.000 0.000 0.000
-6.332 -2.478 -5.311
-4.221 -1.652 -3.541
-2.111 -0.826 -1.770
```

Computed properties:
ΔE_f: -0.167 eV per atom
E_tot: -29.127 eV/atom

A crystal of Dy3Y relaxed with PBEsol, computed with meta-GGA SCAN.

Structure (POSCAR):
```
Dy3Y
1.0
5.553 0.000 0.000
0.000 7.094 0.000
0.000 -3.547 6.144
Y Dy
2 6
Cartesian
4.165 0.000 4.096
1.388 3.547 2.048
1.388 1.780 5.124
1.388 0.000 2.041
1.388 -1.780 5.124
4.165 1.767 1.020
4.165 3.547 4.103
4.165 5.327 1.020
```

Computed properties:
ΔE_f: 0.014 eV per atom
E_tot: -42.794 eV/atom

A crystal of BeCr2Ir relaxed with PBEsol, computed with meta-GGA SCAN.

Structure (POSCAR):
```
BeCr2Ir
1.0
2.830 0.000 0.000
0.000 3.759 0.000
-1.415 -1.879 4.137
Cr Ir Be
2 1 1
Cartesian
1.415 1.879 2.038
0.000 0.000 2.099
1.415 0.000 0.000
0.000 1.879 0.000
```

Computed properties:
ΔE_f: -0.341 eV per atom
E_tot: -28.396 eV/atom

A crystal of MgInSi2 relaxed with PBEsol, computed with meta-GGA SCAN.

Structure (POSCAR):
```
MgInSi2
1.0
-2.064 2.055 -2.769
-3.229 -2.935 0.228
0.796 2.713 4.337
In Mg Si
1 1 2
Cartesian
-1.614 -1.468 0.114
-1.032 1.028 -1.384
-3.571 0.696 0.262
-0.926 1.137 1.534
```

Computed properties:
Uncorrected formation energy: 0.382 eV/atom
E_tot: -14.216 eV/atom

A crystal of TlAgAs2 relaxed with PBEsol, computed with meta-GGA SCAN.

Structure (POSCAR):
```
TlAgAs2
1.0
3.696 0.000 0.000
0.000 4.053 0.000
-1.848 -2.027 5.974
Tl As Ag
1 2 1
Cartesian
1.848 2.027 0.628
1.848 2.027 5.021
0.000 2.027 3.187
1.848 0.000 3.112
```

Computed properties:
ΔE_f: 0.176 eV per atom
E_tot: -35.850 eV/atom

A crystal of CaCrMo2 relaxed with PBEsol, computed with meta-GGA SCAN.

Structure (POSCAR):
```
CaCrMo2
1.0
2.979 0.000 -0.010
0.000 3.581 0.000
-0.855 0.000 6.860
Cr Mo Ca
1 2 1
Cartesian
1.062 1.790 3.425
2.172 0.000 4.570
-0.048 0.000 2.280
1.489 1.790 -0.005
```

Computed properties:
ΔE_f: 0.625 eV per atom
E_tot: -23.829 eV/atom

Number 3 is which compound?
ScIn2Ru